Entry 1:
Compound: KRbSnPb
Source: Alexandria via LeMat-Bulk
Functional: PBE
Structure: optimized geometry

Lattice parameters (Å, degrees): 8.3889 8.3889 8.3889 90.00 90.00 90.00
Last column: nearest neighbours and their distance in Å.
Space group F-43m (No. 216)
Unique sites:
K  0.0000  0.0000  0.0000  4 Sn 3.63, 4 Rb 3.63
Rb  0.2500  0.2500  0.2500  4 Pb 3.63, 4 K 3.63
Sn  0.2500  0.2500  0.7500  4 Pb 3.63, 4 K 3.63
Pb  0.0000  0.0000  0.5000  4 Rb 3.63, 4 Sn 3.63

Output
E_tot = -2.5207 eV per atom

---

Entry 2:
Compound: KRbSrPb
Source: Alexandria via LeMat-Bulk
Functional: PBE
Structure: optimized geometry

Lattice parameters (Å, degrees): 8.8491 8.8491 8.8491 90.00 90.00 90.00
Last column: nearest neighbours and their distance in Å.
Space group F-43m (No. 216)
Unique sites:
K  0.0000  0.0000  0.0000  4 Sr 3.83, 4 Rb 3.83
Rb  0.2500  0.2500  0.2500  4 Pb 3.83, 4 K 3.83
Sr  0.2500  0.2500  0.7500  4 Pb 3.83, 4 K 3.83
Pb  0.0000  0.0000  0.5000  4 Rb 3.83, 4 Sr 3.83

Output
E_tot = -1.9847 eV per atom

---

Entry 3:
Compound: KRbTa2Pb
Source: Alexandria via LeMat-Bulk
Functional: PBE
Structure: optimized geometry

Lattice parameters (Å, degrees): 5.2000 5.2000 5.5412 90.00 90.00 90.00
Last column: nearest neighbours and their distance in Å.
Space group P4/mmm (No. 123)
Unique sites:
K  0.0000  0.0000  0.0000  2 Rb 2.77
Rb  0.0000  0.0000  0.5000  4 Ta 2.60, 2 K 2.77
Ta  0.0000  0.5000  0.5000  2 Rb 2.60
Pb  0.5000  0.5000  0.0000  4 K 3.68, 8 Ta 3.80

Output
E_tot = -3.2775 eV per atom

---

Entry 4:
Compound: KRbTlPb2
Source: Alexandria via LeMat-Bulk
Functional: PBE
Structure: optimized geometry

Lattice parameters (Å, degrees): 6.2431 6.2431 6.2633 90.00 90.00 90.00
Last column: nearest neighbours and their distance in Å.
Space group P4/mmm (No. 123)
Unique sites:
K  0.0000  0.0000  0.0000  4 Pb 3.12, 2 Tl 3.13
Rb  0.5000  0.5000  0.5000  4 Tl 4.41, 8 Pb 4.42
Tl  0.0000  0.0000  0.5000  2 K 3.13
Pb  0.0000  0.5000  0.0000  2 K 3.12

Output
E_tot = -1.9100 eV per atom

---

Entry 5:
Compound: KRbTlPb
Source: Alexandria via LeMat-Bulk
Functional: PBE
Structure: optimized geometry

Lattice parameters (Å, degrees): 8.4040 8.4040 8.4040 90.00 90.00 90.00
Last column: nearest neighbours and their distance in Å.
Space group F-43m (No. 216)
Unique sites:
K  0.0000  0.0000  0.0000  4 Rb 3.64, 4 Pb 3.64
Rb  0.2500  0.2500  0.7500  4 Tl 3.64, 4 K 3.64
Tl  0.0000  0.0000  0.5000  4 Pb 3.64, 4 Rb 3.64
Pb  0.2500  0.2500  0.2500  4 Tl 3.64, 4 K 3.64

Output
E_tot = -2.1126 eV per atom

---

Entry 6:
Compound: K4Rb2ZnPb2
Source: Alexandria via LeMat-Bulk
Functional: PBE
Structure: optimized geometry

Lattice parameters (Å, degrees): 14.7293 8.7096 6.6782 90.00 101.42 90.00
Last column: nearest neighbours and their distance in Å.
Space group C2/m (No. 12)
Unique sites:
K  0.1241  0.2218  0.2175  1 Zn 3.46, 1 Pb 3.84, 1 K 3.86
Rb  0.1436  0.5000  0.7290  6 K 3.88-4.15, 1 Pb 4.01
Zn  0.0000  0.0000  0.5000  2 Pb 2.71
Pb  0.1706  0.0000  0.7436  1 Zn 2.71

Output
E_tot = -1.7229 eV per atom

---

Entry 7:
Compound: KRb2ZnPb
Source: Alexandria via LeMat-Bulk
Functional: PBE
Structure: optimized geometry

Lattice parameters (Å, degrees): 6.9904 6.9904 5.3079 90.00 90.00 90.00
Last column: nearest neighbours and their distance in Å.
Space group P4/mmm (No. 123)
Unique sites:
K  0.0000  0.0000  0.0000  8 Rb 4.39
Rb  0.0000  0.5000  0.5000  2 Zn 3.50
Zn  0.5000  0.5000  0.5000  2 Pb 2.65
Pb  0.5000  0.5000  0.0000  2 Zn 2.65

Output
E_tot = -1.5397 eV per atom

---

Entry 8:
Compound: KRe4Pb
Source: Alexandria via LeMat-Bulk
Functional: PBE
Structure: optimized geometry

Lattice parameters (Å, degrees): 7.6794 7.6794 7.6794 90.00 90.00 90.00
Last column: nearest neighbours and their distance in Å.
Space group F-43m (No. 216)
Unique sites:
K  0.0000  0.0000  0.0000  12 Re 3.18, 4 Pb 3.33
Re  0.1249  0.1249  0.3751  6 Re 2.71-2.72
Pb  0.2500  0.2500  0.7500  12 Re 3.18, 4 K 3.33

Output
E_tot = -8.0175 eV per atom

---

Entry 9:
Compound: K3RePb
Source: Alexandria via LeMat-Bulk
Functional: PBE
Structure: optimized geometry

Lattice parameters (Å, degrees): 6.3338 6.3338 6.3338 90.00 90.00 90.00
Last column: nearest neighbours and their distance in Å.
Space group Pm-3m (No. 221)
Unique sites:
K  0.0000  0.0000  0.5000  2 Re 3.17
Re  0.0000  0.0000  0.0000  6 K 3.17
Pb  0.5000  0.5000  0.5000  12 K 4.48

Output
E_tot = -2.4464 eV per atom

---

Entry 10:
Compound: KRePb4
Source: Alexandria via LeMat-Bulk
Functional: PBE
Structure: optimized geometry

Lattice parameters (Å, degrees): 9.1398 9.1398 9.1398 90.00 90.00 90.00
Last column: nearest neighbours and their distance in Å.
Space group F-43m (No. 216)
Unique sites:
K  0.0000  0.0000  0.0000  12 Pb 3.79, 4 Re 3.96
Re  0.2500  0.2500  0.2500  12 Pb 3.79, 4 K 3.96
Pb  0.1238  0.1238  0.6238  6 Pb 3.20-3.26

Output
E_tot = -3.8082 eV per atom

---

Entry 11:
Compound: KRePb3
Source: Alexandria via LeMat-Bulk
Functional: PBE
Structure: optimized geometry

Lattice parameters (Å, degrees): 5.4501 5.4501 5.4501 90.00 90.00 90.00
Last column: nearest neighbours and their distance in Å.
Space group Pm-3m (No. 221)
Unique sites:
K  0.0000  0.0000  0.0000  12 Pb 3.85
Re  0.5000  0.5000  0.5000  6 Pb 2.73
Pb  0.0000  0.5000  0.5000  2 Re 2.73

Output
E_tot = -4.4971 eV per atom

---

Entry 12:
Compound: KRe2RuPb
Source: Alexandria via LeMat-Bulk
Functional: PBE
Structure: optimized geometry

Lattice parameters (Å, degrees): 5.2300 5.2300 5.1662 90.00 90.00 90.00
Last column: nearest neighbours and their distance in Å.
Space group P4/mmm (No. 123)
Unique sites:
K  0.0000  0.0000  0.0000  8 Re 3.68, 4 Ru 3.70
Re  0.0000  0.5000  0.5000  2 Pb 2.61
Ru  0.5000  0.5000  0.0000  2 Pb 2.58
Pb  0.5000  0.5000  0.5000  2 Ru 2.58, 4 Re 2.61

Output
E_tot = -5.1396 eV per atom